Material: Ba2NiP2O8
Method: DFT, GGA+U
State: relaxed

Results
Calculated total energy, eV per cell: -358.7
Density of states at the Fermi level, states/eV/cell: 0.000

abc: 5.395 8.932 17.051
angles: 90.00 107.67 90.00
Positions (direct):
Ba  0.027  0.155  0.270
Ba  0.027  0.345  0.770
Ba  0.180  0.703  0.981
Ba  0.180  0.797  0.481
Ba  0.820  0.203  0.519
Ba  0.820  0.297  0.019
Ba  0.973  0.655  0.230
Ba  0.973  0.845  0.730
Ni  0.409  0.011  0.133
Ni  0.409  0.489  0.633
Ni  0.591  0.511  0.367
Ni  0.591  0.989  0.867
P  0.189  0.086  0.922
P  0.189  0.414  0.422
P  0.419  0.112  0.667
P  0.419  0.388  0.167
P  0.581  0.612  0.833
P  0.581  0.888  0.333
P  0.811  0.586  0.578
P  0.811  0.914  0.078
O  0.096  0.635  0.626
O  0.096  0.865  0.126
O  0.225  0.087  0.015
O  0.225  0.413  0.515
O  0.241  0.030  0.589
O  0.241  0.470  0.089
O  0.241  0.570  0.388
O  0.241  0.930  0.888
O  0.294  0.612  0.834
O  0.294  0.888  0.334
O  0.313  0.225  0.168
O  0.313  0.275  0.668
O  0.384  0.195  0.900
O  0.384  0.305  0.400
O  0.392  0.030  0.745
O  0.392  0.470  0.245
O  0.608  0.530  0.755
O  0.608  0.970  0.255
O  0.616  0.695  0.600
O  0.616  0.805  0.100
O  0.687  0.725  0.332
O  0.687  0.775  0.832
O  0.706  0.112  0.666
O  0.706  0.388  0.166
O  0.759  0.070  0.112
O  0.759  0.430  0.612
O  0.759  0.530  0.911
O  0.759  0.970  0.411
O  0.775  0.587  0.485
O  0.775  0.913  0.985
O  0.904  0.135  0.874
O  0.904  0.365  0.374